A geometry-optimized AcNiMo structure, computed with PBE.

Properties
The calculated formation energy comes out at 0.340 eV per atom. Its density is 9.69 g/cm3. The calculated total energy comes out at -39.40 eV/cell. Its calculated volume is 131 Å³ per cell. For the density of states at the Fermi level, the calculation gives 1.45 states/eV/atom.

abc: 3.4951 3.4951 10.7087
angles: 90.00 90.00 90.00
Space group P4/mmm (No. 123)
Asymmetric unit:
Ac 0.0000 0.0000 0.1755 x2
Ni 0.0000 0.0000 0.5000 x1
Ni 0.5000 0.5000 0.0000 x1
Mo 0.5000 0.5000 0.3963 x2